# 1
VASP calculation (PBE) on an optimized crystal structure of TaPbAu2.

Lattice parameters (Å, degrees): 6.0289 6.0289 6.0289 151.11 128.30 60.30
Closest atoms and distances in Å follow each position.
Sites, in units of the cell vectors:
1 Au 0.0072 0.0072 0.0000  2 Ta 2.81, 4 Au 2.96-3.01, 4 Pb 3.03
2 Au 0.7628 0.2628 0.5000  4 Au 2.96-3.01, 4 Ta 3.04, 2 Pb 3.17
3 Pb 0.4956 0.4956 0.0000  2 Pb 3.01, 6 Au 3.03-3.17, 2 Ta 3.11
4 Ta 0.2344 0.7344 0.5000  6 Au 2.81-3.04, 2 Ta 3.01, 2 Pb 3.11

DFT formation energy	0.30	eV/atom
space group	Imm2

=====

# 2
VASP calculation (PBE) on an optimized crystal structure of BeGe3O.

Lattice parameters (Å, degrees): 4.3656 4.3656 4.3656 90.00 90.00 90.00
Closest atoms and distances in Å follow each position.
Sites, in units of the cell vectors:
1 Be 0.5000 0.5000 0.5000  12 Ge 3.09
2 Ge 0.0000 0.5000 0.0000  2 O 2.18
3 Ge 0.0000 0.0000 0.5000  2 O 2.18
4 Ge 0.5000 0.0000 0.0000  2 O 2.18
5 O 0.0000 0.0000 0.0000  6 Ge 2.18

excess energy over the best structure of this formula in the dataset	0.00	kcal/mol of atoms
energy relative to the elements, uncorrected	0.313	eV per atom
space group	Pm-3m

=====

# 3
VASP calculation (PBE) on an optimized crystal structure of CsInSbPb.

Lattice parameters (Å, degrees): 4.8656 4.8656 14.5926 90.00 90.00 90.00
Closest atoms and distances in Å follow each position.
Sites, in units of the cell vectors:
1 Cs 0.7500 0.7500 0.2615  4 Sb 4.03, 4 Pb 4.25
2 Cs 0.2500 0.2500 0.7385  4 Sb 4.03, 4 Pb 4.25
3 In 0.7500 0.2500 0.0000  4 Sb 2.98
4 In 0.2500 0.7500 0.0000  4 Sb 2.98
5 Sb 0.7500 0.7500 0.8821  4 In 2.98
6 Sb 0.2500 0.2500 0.1179  4 In 2.98
7 Pb 0.2500 0.7500 0.5000  4 Pb 3.44
8 Pb 0.7500 0.2500 0.5000  4 Pb 3.44

energy relative to the elements, uncorrected	-0.145	eV per atom
space group	P4/nmm

=====

# 4
VASP calculation (PBE) on an optimized crystal structure of TbEuIr.

Lattice parameters (Å, degrees): 3.4949 3.4949 7.1318 104.18 104.18 90.00
Closest atoms and distances in Å follow each position.
Sites, in units of the cell vectors:
1 Eu 0.0352 0.0352 0.0705  4 Ir 3.11, 1 Tb 3.38
2 Ir 0.6768 0.6768 0.3537  4 Tb 2.88, 4 Eu 3.11
3 Tb 0.2879 0.2879 0.5758  4 Ir 2.88

DFT formation energy	-0.45	eV/atom
excess energy over the best structure of this formula in the dataset	1.16	kcal/mol of atoms
space group	I4mm

=====

# 5
VASP calculation (PBE) on an optimized crystal structure of SmPtRh.

Lattice parameters (Å, degrees): 3.8388 4.3721 4.3721 120.00 90.00 90.00
Closest atoms and distances in Å follow each position.
Sites, in units of the cell vectors:
1 Rh 0.1668 0.3333 0.6667  3 Pt 2.52
2 Sm 0.6666 0.6667 0.3333  6 Rh 3.17, 6 Pt 3.17
3 Pt 0.1667 0.0000 0.0000  3 Rh 2.52

DFT formation energy	-0.81	eV/atom
excess energy over the best structure of this formula in the dataset	2.26	kcal/mol of atoms
space group	P-6m2

=====

# 6
VASP calculation (PBE) on an optimized crystal structure of CsMnInI4.

Lattice parameters (Å, degrees): 8.0466 8.2404 10.6693 90.00 104.78 90.00
Closest atoms and distances in Å follow each position.
Sites, in units of the cell vectors:
1 Cs 0.7850 0.7500 0.4643  9 I 3.90-4.23
2 Cs 0.2150 0.2500 0.5357  9 I 3.90-4.23
3 Mn 0.2050 0.7500 0.2715  4 I 2.67-2.71
4 Mn 0.7950 0.2500 0.7285  4 I 2.67-2.71
5 In 0.7666 0.7500 0.9695  5 I 3.39-3.66
6 In 0.2334 0.2500 0.0305  5 I 3.39-3.66
7 I 0.0137 0.5040 0.7958  1 Mn 2.71
8 I 0.9863 0.0040 0.2042  1 Mn 2.71
9 I 0.9863 0.4960 0.2042  1 Mn 2.71
10 I 0.0137 0.9960 0.7958  1 Mn 2.71
11 I 0.4387 0.7500 0.1333  1 Mn 2.67
12 I 0.5613 0.2500 0.8667  1 Mn 2.67
13 I 0.3262 0.7500 0.5303  1 Mn 2.68
14 I 0.6738 0.2500 0.4697  1 Mn 2.68

energy relative to the elements, uncorrected	-0.778	eV per atom
space group	P2_1/m

=====

Number 1: total magnetization 0.0000 μB/atom, uncorrected energy -5.227 eV per atom. Number 2: total magnetization 0.0000 μB/atom, uncorrected energy -4.194 eV per atom. Number 3: total magnetization 0.0000 μB/atom, uncorrected energy -3.001 eV per atom. Number 4: total magnetization 2.3436 μB/atom, uncorrected energy -8.375 eV per atom. Number 5: total magnetization 0.0000 μB/atom, uncorrected energy -6.843 eV per atom. Number 6: total magnetization 0.7143 μB/atom, uncorrected energy -3.487 eV per atom.